Record 1
VASP calculation (PBE) on a relaxed structure of InOs2Ru.

Cell lengths 4.608, 4.608, 2.963 Å; angles 90.00, 90.00, 90.00 degrees
Space group P4/mmm (No. 123)
Inequivalent atoms, fractional coordinates:
In  0.000  0.000  0.000 (multiplicity 1)
Os  0.000  0.500  0.500 (multiplicity 2)
Ru  0.500  0.500  0.000 (multiplicity 1)

## Properties
The total energy is -31.6 eV for the cell shown. The formation energy comes out at 0.71 eV/atom. The calculation puts the density of states at the Fermi level at 1.3995 states/eV per atom.

=====

Record 2
VASP calculation (PBE) on a relaxed structure of Tb6Mg2Pd.

Cell lengths 6.677, 7.378, 11.251 Å; angles 90.00, 107.84, 90.00 degrees
Space group P2_1/c (No. 14)
Inequivalent atoms, fractional coordinates:
Tb  0.097  0.033  0.252 (multiplicity 4)
Tb  0.171  0.708  0.033 (multiplicity 4)
Tb  0.324  0.161  0.002 (multiplicity 4)
Mg  0.418  0.079  0.742 (multiplicity 4)
Pd  0.500  0.000  0.500 (multiplicity 2)

## Properties
The total energy is -73.9 eV for the cell shown. The formation energy comes out at -0.09 eV/atom. The calculation puts the density of states at the Fermi level at 1.1338 states/eV per atom.

=====

Record 3
VASP calculation (PBE) on a relaxed structure of Ac8CoOs3Cl4.

Cell lengths 8.5962, 8.5962, 23.7540 Å; angles 90.00, 90.00, 120.00 degrees
Space group R-3m (No. 166, hexagonal axes)
Inequivalent atoms, fractional coordinates:
Ac  0.0000  0.0000  0.2344 (multiplicity 6)
Ac  0.0006  0.5003  0.2339 (multiplicity 18)
Co  0.0000  0.0000  0.5000 (multiplicity 3)
Os  0.0000  0.5000  0.5000 (multiplicity 9)
Cl  0.0000  0.0000  0.0000 (multiplicity 3)
Cl  0.0000  0.5000  0.0000 (multiplicity 9)

## Properties
The total energy is -281.8 eV for the cell shown. The calculation puts the density of states at the Fermi level at 0.6158 states/eV per atom.

=====

Record 4
VASP calculation (PBE) on a relaxed structure of CdNiSeN2.

Cell lengths 4.121, 4.121, 5.837 Å; angles 90.00, 90.00, 90.00 degrees
Space group P4/mmm (No. 123)
Inequivalent atoms, fractional coordinates:
Cd  0.000  0.000  0.000 (multiplicity 1)
Ni  0.500  0.500  0.500 (multiplicity 1)
Se  0.000  0.000  0.500 (multiplicity 1)
N  0.000  0.500  0.000 (multiplicity 2)

## Properties
The total energy is -17.0 eV for the cell shown. The calculation puts the density of states at the Fermi level at 1.1229 states/eV per atom.

=====

Record 5
VASP calculation (PBE) on a relaxed structure of PmDyHoPb.

Cell lengths 7.763, 7.763, 7.763 Å; angles 90.00, 90.00, 90.00 degrees
Space group F-43m (No. 216)
Inequivalent atoms, fractional coordinates:
Pm  0.000  0.000  0.000 (multiplicity 4)
Dy  0.250  0.250  0.750 (multiplicity 4)
Ho  0.250  0.250  0.250 (multiplicity 4)
Pb  0.000  0.000  0.500 (multiplicity 4)

## Properties
The total energy is -71.9 eV for the cell shown. The formation energy comes out at -0.08 eV/atom. The calculation puts the density of states at the Fermi level at 1.8556 states/eV per atom.

=====

Record 6
VASP calculation (PBE) on a relaxed structure of DyTm5Ni2.

Cell lengths 3.814, 7.134, 15.289 Å; angles 90.00, 90.00, 90.00 degrees
Space group Immm (No. 71)
Inequivalent atoms, fractional coordinates:
Dy  0.000  0.000  0.000 (multiplicity 2)
Tm  0.000  0.253  0.344 (multiplicity 8)
Tm  0.000  0.500  0.000 (multiplicity 2)
Ni  0.000  0.500  0.195 (multiplicity 4)

## Properties
The total energy is -79.6 eV for the cell shown. The formation energy comes out at -0.16 eV/atom. The calculation puts the density of states at the Fermi level at 1.0339 states/eV per atom.

=====

Record 7
VASP calculation (PBE) on a relaxed structure of PtOF.

Cell lengths 3.3631, 3.3631, 4.2362 Å; angles 90.00, 90.00, 120.00 degrees
Space group P3m1 (No. 156)
Inequivalent atoms, fractional coordinates:
Pt  0.0000  0.0000  0.0000 (multiplicity 1)
O  0.3333  0.6667  0.1745 (multiplicity 1)
F  0.6667  0.3333  0.7538 (multiplicity 1)

## Properties
The total energy is -14.2 eV for the cell shown. The calculation puts the density of states at the Fermi level at 0.8991 states/eV per atom.

=====

Record 8
VASP calculation (PBE) on a relaxed structure of AlAgP2.

Cell lengths 4.827, 4.827, 2.779 Å; angles 90.00, 90.00, 90.00 degrees
Space group P4/mmm (No. 123)
Inequivalent atoms, fractional coordinates:
Al  0.000  0.000  0.000 (multiplicity 1)
Ag  0.500  0.500  0.000 (multiplicity 1)
P  0.000  0.500  0.500 (multiplicity 2)

## Properties
The total energy is -16.3 eV for the cell shown. The formation energy comes out at 0.29 eV/atom. The calculation puts the density of states at the Fermi level at 0.1654 states/eV per atom.